## YPb2Se (PBE)

Data for crystalline YPb2Se at its relaxed geometry.

The structure in POSCAR format:
```
YPb2Se
1.0
2.085 1.204 8.393
-2.085 1.204 8.393
0.000 -2.407 8.393
Y Pb Se
1 2 1
Direct
0.000 0.000 0.000 Y
0.502 0.502 0.502 Pb
0.755 0.755 0.755 Pb
0.275 0.275 0.275 Se
```

Output
- Theoretical density: 7.65 Mg/m³
- Formation energy without anion corrections: -0.657 eV per atom